1.
## Cs2RbZrBr6 (PBE)

Data for Cs2RbZrBr6 after structural relaxation.

Values from the calculation:
spin magnetization = 2.0 Bohr magnetons per cell
mass density = 3.5 Mg/m³
ΔE_f (raw) = -1.59 eV/atom
symmetry = No. 59
electronic total energy = -3.71 eV per atom

abc: 7.989 9.203 11.975
angles: 90.00 90.00 90.00
Each line ends with the local moment (μB).
Element x y z (fractional)
Br 0.744 0.410 0.500  0.00
Br 0.766 0.011 0.000  0.00
Br 0.244 0.590 0.000  0.00
Br 0.500 0.207 0.728  0.00
Br 0.234 0.011 0.000  0.00
Br 0.734 0.989 0.500  0.00
Br 0.266 0.989 0.500  0.00
Br 0.256 0.410 0.500  0.00
Br 0.000 0.793 0.772  0.00
Br 0.500 0.207 0.272  0.00
Br 0.000 0.793 0.228  0.00
Br 0.756 0.590 0.000  0.00
Cs 0.000 0.191 0.717  0.00
Cs 0.500 0.809 0.783  0.00
Cs 0.000 0.191 0.283  0.00
Cs 0.500 0.809 0.217  0.00
Zr 0.500 0.206 0.500  0.70
Zr 0.000 0.794 0.000  0.70
Rb 0.000 0.699 0.500  0.00
Rb 0.500 0.301 0.000  0.00

---

2.
## CsReBr2 (PBE)

Data for CsReBr2 after structural relaxation.

Values from the calculation:
spin magnetization = 0.0 Bohr magnetons per cell
mass density = 5.4 Mg/m³
ΔE_f (raw) = 0.36 eV/atom
symmetry = No. 122
electronic total energy = -3.81 eV per atom

abc: 6.687 6.687 8.156
angles: 65.80 65.80 90.00
Element x y z (fractional)
Br 0.986 0.625 0.250
Br 0.764 0.125 0.250
Br 0.875 0.014 0.750
Br 0.375 0.236 0.750
Cs 0.250 0.750 0.500
Cs 0.500 0.500 0.000
Re 0.000 0.000 0.000
Re 0.750 0.250 0.500

---

3.
## CsReBr4 (PBE)

Data for CsReBr4 after structural relaxation.

Values from the calculation:
spin magnetization = 0.0 Bohr magnetons per cell
mass density = 4.6 Mg/m³
ΔE_f (raw) = -0.84 eV/atom
symmetry = No. 61
electronic total energy = -4.17 eV per atom

abc: 10.546 12.964 13.461
angles: 90.00 90.00 90.00
Element x y z (fractional)
Cs 0.167 0.303 0.866
Cs 0.833 0.803 0.634
Cs 0.667 0.303 0.634
Cs 0.667 0.197 0.134
Cs 0.333 0.697 0.366
Cs 0.167 0.197 0.366
Cs 0.333 0.803 0.866
Cs 0.833 0.697 0.134
Re 0.941 0.514 0.432
Re 0.441 0.986 0.568
Re 0.441 0.514 0.068
Re 0.059 0.014 0.068
Re 0.941 0.986 0.932
Re 0.059 0.486 0.568
Re 0.559 0.486 0.932
Re 0.559 0.014 0.432
Br 0.227 0.940 0.502
Br 0.151 0.658 0.609
Br 0.470 0.798 0.605
Br 0.913 0.515 0.712
Br 0.849 0.158 0.891
Br 0.030 0.298 0.605
Br 0.349 0.158 0.609
Br 0.530 0.298 0.895
Br 0.273 0.440 0.502
Br 0.773 0.440 0.998
Br 0.970 0.702 0.395
Br 0.273 0.060 0.002
Br 0.773 0.060 0.498
Br 0.087 0.015 0.788
Br 0.413 0.515 0.788
Br 0.030 0.202 0.105
Br 0.849 0.342 0.391
Br 0.651 0.658 0.891
Br 0.913 0.985 0.212
Br 0.727 0.560 0.498
Br 0.227 0.560 0.002
Br 0.970 0.798 0.895
Br 0.151 0.842 0.109
Br 0.087 0.485 0.288
Br 0.727 0.940 0.998
Br 0.413 0.985 0.288
Br 0.470 0.702 0.105
Br 0.651 0.842 0.391
Br 0.349 0.342 0.109
Br 0.587 0.015 0.712
Br 0.530 0.202 0.395
Br 0.587 0.485 0.212

---

4.
## CsReBr6 (PBE)

Data for CsReBr6 after structural relaxation.

Values from the calculation:
spin magnetization = 4.0 Bohr magnetons per cell
mass density = 4.7 Mg/m³
ΔE_f (raw) = -0.67 eV/atom
symmetry = No. 15
electronic total energy = -3.59 eV per atom

abc: 6.860 7.222 13.328
angles: 101.11 90.00 118.36
Each line ends with the local moment (μB).
Element x y z (fractional)
Re 0.000 0.500 0.500  1.53
Re 0.500 0.500 0.000  1.53
Cs 0.608 0.000 0.750  0.01
Cs 0.392 0.000 0.250  0.01
Br 0.302 0.427 0.158  0.04
Br 0.804 0.849 0.102  0.03
Br 0.196 0.151 0.898  0.03
Br 0.698 0.573 0.842  0.04
Br 0.293 0.688 0.962  0.02
Br 0.395 0.688 0.462  0.02
Br 0.605 0.312 0.538  0.02
Br 0.124 0.427 0.658  0.04
Br 0.045 0.849 0.602  0.03
Br 0.955 0.151 0.398  0.03
Br 0.707 0.312 0.038  0.02
Br 0.876 0.573 0.342  0.04

---

5.
## CsReBr5 (PBE)

Data for CsReBr5 after structural relaxation.

Values from the calculation:
spin magnetization = 6.0 Bohr magnetons per cell
mass density = 4.5 Mg/m³
ΔE_f (raw) = -0.69 eV/atom
symmetry = No. 15
electronic total energy = -3.78 eV per atom

abc: 9.693 9.693 8.186
angles: 60.33 60.33 92.73
Each line ends with the local moment (μB).
Element x y z (fractional)
Br 0.792 0.093 0.918  0.10
Br 0.501 0.655 0.145  0.08
Br 0.155 0.001 0.645  0.08
Br 0.499 0.345 0.855  0.08
Br 0.172 0.328 0.750  0.00
Br 0.828 0.672 0.250  0.00
Br 0.845 0.999 0.355  0.08
Br 0.593 0.292 0.418  0.10
Br 0.208 0.907 0.082  0.10
Br 0.407 0.708 0.582  0.10
Cs 0.879 0.621 0.750  0.01
Cs 0.121 0.379 0.250  0.01
Re 0.500 0.500 0.500  2.15
Re 0.000 0.000 0.000  2.15

---

6.
## CsReBr2 (PBE)

Data for CsReBr2 after structural relaxation.

Values from the calculation:
spin magnetization = 0.0 Bohr magnetons per cell
mass density = 7.4 Mg/m³
ΔE_f (raw) = 0.51 eV/atom
symmetry = No. 166
electronic total energy = -3.65 eV per atom

abc: 10.583 10.583 10.583
angles: 18.75 18.75 18.75
Element x y z (fractional)
Re 0.000 0.000 0.000
Br 0.078 0.078 0.078
Br 0.922 0.922 0.922
Cs 0.500 0.500 0.500

---

7.
## CsReBr6 (PBE)

Data for CsReBr6 after structural relaxation.

Values from the calculation:
spin magnetization = 2.0 Bohr magnetons per cell
mass density = 4.3 Mg/m³
ΔE_f (raw) = -0.65 eV/atom
symmetry = No. 166
electronic total energy = -3.57 eV per atom

abc: 7.326 7.326 7.859
angles: 62.22 62.22 60.00
Each line ends with the local moment (μB).
Element x y z (fractional)
Br 0.089 0.606 0.217  0.03
Br 0.089 0.089 0.217  0.03
Br 0.911 0.394 0.783  0.03
Br 0.911 0.911 0.783  0.03
Br 0.394 0.911 0.783  0.03
Br 0.606 0.089 0.217  0.03
Re 0.000 0.000 0.000  1.51
Cs 0.500 0.500 0.500  0.00

---

8.
## CsReBr3 (PBE)

Data for CsReBr3 after structural relaxation.

Values from the calculation:
spin magnetization = 0.0 Bohr magnetons per cell
mass density = 4.7 Mg/m³
ΔE_f (raw) = -0.45 eV/atom
symmetry = No. 1
electronic total energy = -4.11 eV per atom

abc: 5.112 12.262 6.977
angles: 88.25 68.54 78.14
Each line ends with the local moment (μB).
Element x y z (fractional)
Re 0.727 0.423 0.710  -1.35
Re 0.229 0.423 0.710  1.35
Br 0.170 0.359 0.390  0.00
Br 0.510 0.252 0.816  0.00
Br 0.787 0.487 0.030  0.00
Br 0.028 0.036 0.996  0.00
Br 0.447 0.593 0.605  0.00
Br 0.927 0.810 0.426  0.00
Cs 0.651 0.810 0.976  0.00
Cs 0.305 0.036 0.447  0.00

---

9.
## Cs3ReBr8 (PBE)

Data for Cs3ReBr8 after structural relaxation.

Values from the calculation:
spin magnetization = 4.0 Bohr magnetons per cell
mass density = 4.2 Mg/m³
ΔE_f (raw) = -1.02 eV/atom
symmetry = No. 186
electronic total energy = -3.38 eV per atom

abc: 9.645 10.789 10.789
angles: 120.00 90.00 90.00
Each line ends with the local moment (μB).
Element x y z (fractional)
Br 0.636 0.333 0.667  -0.16
Br 0.498 0.886 0.443  0.03
Br 0.301 0.224 0.776  0.02
Br 0.801 0.449 0.224  0.02
Br 0.301 0.224 0.449  0.02
Br 0.136 0.667 0.333  -0.16
Br 0.463 0.000 0.000  0.00
Br 0.498 0.557 0.443  0.03
Br 0.498 0.557 0.114  0.03
Br 0.801 0.776 0.224  0.02
Br 0.963 0.000 0.000  0.00
Br 0.998 0.443 0.557  0.03
Br 0.301 0.551 0.776  0.02
Br 0.998 0.443 0.886  0.03
Br 0.998 0.114 0.557  0.03
Br 0.801 0.776 0.551  0.02
Re 0.147 0.333 0.667  1.69
Re 0.647 0.667 0.333  1.69
Cs 0.710 0.153 0.306  0.00
Cs 0.210 0.306 0.153  0.00
Cs 0.210 0.847 0.153  0.00
Cs 0.210 0.847 0.694  0.00
Cs 0.710 0.694 0.847  0.00
Cs 0.710 0.153 0.847  0.00

---

10.
## Cs2ReBr7 (PBE)

Data for Cs2ReBr7 after structural relaxation.

Values from the calculation:
spin magnetization = 2.0 Bohr magnetons per cell
mass density = 4.2 Mg/m³
ΔE_f (raw) = -0.81 eV/atom
symmetry = No. 139
electronic total energy = -3.40 eV per atom

abc: 8.266 8.266 8.285
angles: 60.08 60.08 90.00
Each line ends with the local moment (μB).
Element x y z (fractional)
Cs 0.750 0.250 0.500  0.00
Cs 0.250 0.750 0.500  0.00
Br 0.215 0.215 0.570  0.02
Br 0.216 0.784 0.000  0.01
Br 0.785 0.785 0.430  0.02
Br 0.784 0.216 0.000  0.01
Br 0.784 0.784 0.000  0.01
Br 0.500 0.500 0.000  -0.34
Br 0.216 0.216 0.000  0.01
Re 0.000 0.000 0.000  1.96

---

11.
## CsReBr4 (PBE)

Data for CsReBr4 after structural relaxation.

Values from the calculation:
spin magnetization = 0.0 Bohr magnetons per cell
mass density = 4.6 Mg/m³
ΔE_f (raw) = -0.72 eV/atom
symmetry = No. 12
electronic total energy = -4.05 eV per atom

abc: 5.255 7.346 12.737
angles: 106.76 99.85 90.00
Element x y z (fractional)
Cs 0.814 0.801 0.602
Cs 0.186 0.199 0.398
Br 0.407 0.643 0.807
Br 0.407 0.164 0.807
Br 0.593 0.357 0.193
Br 0.766 0.295 0.590
Br 0.234 0.705 0.410
Br 0.000 0.721 0.000
Br 0.000 0.279 0.000
Br 0.593 0.836 0.193
Re 0.676 0.534 0.067
Re 0.324 0.466 0.933

---

12.
## CsReBr2 (PBE)

Data for CsReBr2 after structural relaxation.

Values from the calculation:
spin magnetization = 6.0 Bohr magnetons per cell
mass density = 5.7 Mg/m³
ΔE_f (raw) = 0.57 eV/atom
symmetry = No. 225
electronic total energy = -3.59 eV per atom

abc: 5.828 5.828 5.828
angles: 60.00 60.00 60.00
Each line ends with the local moment (μB).
Element x y z (fractional)
Re 0.500 0.500 0.500  4.40
Br 0.750 0.750 0.750  0.17
Br 0.250 0.250 0.250  0.17
Cs 0.000 0.000 0.000  0.02